1.
First-principles (GGA-PBEsol) data for an optimized crystal structure of HPtIO2, as listed in Alexandria via LeMat-Bulk.

Cell: 3.5650 3.9995 3.9995 Å, 90.00 90.00 90.00°
Last column: magnetic moment on the atom in μB.
Atoms (fractional coordinates):
I 0.5000 0.0000 0.0000  0.07
H 0.0000 0.0000 0.0000  0.01
O 0.0000 0.0000 0.5000  0.32
O 0.0000 0.5000 0.0000  0.32
Pt 0.5000 0.5000 0.5000  0.30

---

2.
First-principles (GGA-PBEsol) data for an optimized crystal structure of ScHgIr2, as listed in Alexandria via LeMat-Bulk.

## Properties
energy of formation = -0.277 eV/atom

Cell: 4.0782 4.0782 4.8724 Å, 114.74 114.74 90.00°
Atoms (fractional coordinates):
Hg 0.0000 0.0000 0.0000
Ir 0.7500 0.2500 0.5000
Ir 0.2500 0.7500 0.5000
Sc 0.5000 0.5000 0.0000

---

3.
First-principles (GGA-PBEsol) data for an optimized crystal structure of TbAg3, as listed in Alexandria via LeMat-Bulk.

## Properties
energy of formation = -0.229 eV/atom
excess energy over the best structure of this formula in the dataset = 0.0000 eV/atom

Cell: 4.3692 5.1051 4.3692 Å, 64.66 90.00 115.34°
Atoms (fractional coordinates):
Tb 0.0000 0.0000 0.0000
Ag 0.7500 0.5000 0.7500
Ag 0.2500 0.5000 0.2500
Ag 0.5000 0.0000 0.5000

---

4.
First-principles (GGA-PBEsol) data for an optimized crystal structure of ScSb2Rh, as listed in Alexandria via LeMat-Bulk.

## Properties
energy relative to the elements, uncorrected = -0.299 eV/atom

Cell: 3.3084 3.3084 8.7929 Å, 79.16 79.16 60.00°
Atoms (fractional coordinates):
Rh 0.0000 0.0000 0.0000
Sb 0.2591 0.2591 0.2226
Sb 0.7409 0.7409 0.7774
Sc 0.5000 0.5000 0.5000

---

5.
First-principles (GGA-PBEsol) data for an optimized crystal structure of AlSi3Ni2, as listed in Alexandria via LeMat-Bulk.

## Properties
energy relative to the elements, uncorrected = -0.092 eV/atom

Cell: 3.8276 4.8802 4.8802 Å, 120.00 90.00 90.00°
Atoms (fractional coordinates):
Ni 0.0000 0.6667 0.3333
Ni 0.0000 0.3333 0.6667
Si 0.5000 0.5000 0.5000
Si 0.5000 0.0000 0.5000
Si 0.5000 0.5000 0.0000
Al 0.0000 0.0000 0.0000

---

6.
First-principles (GGA-PBEsol) data for an optimized crystal structure of BeSiPb, as listed in Alexandria via LeMat-Bulk.

## Properties
energy relative to the elements, uncorrected = 1.003 eV/atom

Cell: 4.5438 4.5438 4.5438 Å, 60.00 60.00 60.00°
Atoms (fractional coordinates):
Pb 0.2500 0.2500 0.2500
Be 0.5000 0.5000 0.5000
Si 0.0000 0.0000 0.0000

---

7.
First-principles (GGA-PBEsol) data for an optimized crystal structure of ZnNiAg2, as listed in Alexandria via LeMat-Bulk.

## Properties
energy of formation = 0.083 eV/atom

Cell: 2.8770 4.4868 5.1895 Å, 115.61 106.09 90.00°
Atoms (fractional coordinates):
Ag 0.7504 0.7504 0.5008
Ag 0.2496 0.2496 0.4992
Ni 0.5000 0.0000 0.0000
Zn 0.0000 0.5000 0.0000

---

8.
First-principles (GGA-PBEsol) data for an optimized crystal structure of RbNb2TcBr, as listed in Alexandria via LeMat-Bulk.

## Properties
energy relative to the elements, uncorrected = 1.019 eV/atom

Cell: 4.7505 4.7505 6.1773 Å, 90.00 90.00 90.00°
Last column: magnetic moment on the atom in μB.
Atoms (fractional coordinates):
Nb 0.0000 0.5000 0.0000  0.55
Nb 0.5000 0.0000 0.0000  0.55
Br 0.0000 0.0000 0.5000  0.04
Tc 0.0000 0.0000 0.0000  -0.22
Rb 0.5000 0.5000 0.5000  0.01

---

9.
First-principles (GGA-PBEsol) data for an optimized crystal structure of Mn2IrCl, as listed in Alexandria via LeMat-Bulk.

## Properties
energy relative to the elements, uncorrected = 0.256 eV/atom
excess energy over the best structure of this formula in the dataset = 0.0000 eV/atom

Cell: 2.7198 2.7198 7.9619 Å, 80.17 80.17 60.00°
Last column: magnetic moment on the atom in μB.
Atoms (fractional coordinates):
Ir 0.0000 0.0000 0.0000  -0.10
Mn 0.2458 0.2458 0.2627  1.56
Mn 0.7542 0.7542 0.7373  1.56
Cl 0.5000 0.5000 0.5000  0.03

---

10.
First-principles (GGA-PBEsol) data for an optimized crystal structure of Sc4AlCu, as listed in Alexandria via LeMat-Bulk.

## Properties
energy of formation = 0.381 eV/atom

Cell: 5.5762 5.5762 5.5762 Å, 60.00 60.00 60.00°
Atoms (fractional coordinates):
Al 0.7500 0.7500 0.7500
Cu 0.0000 0.0000 0.0000
Sc 0.3757 0.3757 0.3757
Sc 0.3757 0.3757 0.8729
Sc 0.8729 0.3757 0.3757
Sc 0.3757 0.8729 0.3757

---

11.
First-principles (GGA-PBEsol) data for an optimized crystal structure of ZrSc2O, as listed in Alexandria via LeMat-Bulk.

## Properties
energy relative to the elements, uncorrected = -1.337 eV/atom

Cell: 3.1022 3.1022 8.5545 Å, 79.55 79.55 60.00°
Atoms (fractional coordinates):
Sc 0.8824 0.8824 0.3529
Sc 0.1176 0.1176 0.6471
O 0.5000 0.5000 0.5000
Zr 0.0000 0.0000 0.0000

---

12.
First-principles (GGA-PBEsol) data for an optimized crystal structure of P3Au2, as listed in Alexandria via LeMat-Bulk.

## Properties
energy of formation = -0.111 eV/atom

Cell: 4.6585 5.8239 7.7892 Å, 68.05 82.84 70.53°
Atoms (fractional coordinates):
P 0.8153 0.5547 0.2417
P 0.1847 0.2036 0.2417
P 0.1847 0.4453 0.7583
P 0.8153 0.7964 0.7583
P 0.5132 0.6904 0.0000
P 0.4868 0.3096 0.0000
Au 0.5000 0.5000 0.5000
Au 0.5000 0.0000 0.5000
Au 0.0000 0.1079 0.7841
Au 0.0000 0.8921 0.2159

---

13.
First-principles (GGA-PBEsol) data for an optimized crystal structure of CoAuS2N, as listed in Alexandria via LeMat-Bulk.

## Properties
energy relative to the elements, uncorrected = 0.518 eV/atom

Cell: 3.3192 4.6264 4.6264 Å, 90.00 90.00 90.00°
Atoms (fractional coordinates):
Co 0.0000 0.0000 0.0000
S 0.0000 0.0000 0.5000
S 0.0000 0.5000 0.0000
Au 0.5000 0.5000 0.5000
N 0.5000 0.0000 0.0000

---

14.
First-principles (GGA-PBEsol) data for an optimized crystal structure of Li2Ni, as listed in Alexandria via LeMat-Bulk.

## Properties
energy of formation = 0.086 eV/atom

Cell: 2.4054 3.9690 4.4594 Å, 116.42 105.65 90.00°
Atoms (fractional coordinates):
Ni 0.0000 0.0000 0.0000
Li 0.6616 0.6616 0.3231
Li 0.3384 0.3384 0.6769

---

| no. | M_tot (μB per atom) | final energy (Ry per atom) |
| --- | --- | --- |
| 1 | 0.2217 | -0.252 |
| 2 | 0.0000 | -0.513 |
| 3 | 0.0000 | -0.291 |
| 4 | 0.0001 | -0.460 |
| 5 | 0.0000 | -0.419 |
| 6 | 0.0000 | -0.263 |
| 7 | 0.0000 | -0.258 |
| 8 | 0.2641 | -0.451 |
| 9 | 0.7772 | -0.557 |
| 10 | 0.0001 | -0.399 |
| 11 | 0.0000 | -0.604 |
| 12 | 0.0000 | -0.379 |
| 13 | 0.0003 | -0.388 |
| 14 | 0.0001 | -0.241 |